1.
Density functional theory data (GGA-PBE) for an optimized crystal structure of Dy2Y5In.

Structure (POSCAR):
```
Dy2Y5In
1.0
-3.519 3.519 4.974
3.519 -3.519 4.974
3.519 3.519 -4.974
Dy Y In
2 5 1
direct
0.000 0.500 0.500 Dy
0.500 0.000 0.500 Dy
0.000 0.000 0.000 Y
0.000 0.000 0.500 Y
0.000 0.500 0.000 Y
0.500 0.000 0.000 Y
0.500 0.500 0.500 Y
0.500 0.500 0.000 In
```

Output
**Symmetry**: I4/mmm (139)
**Total DFT energy (no corrections)**: -5.61 eV/atom
**Energy of formation from the pure elements**: -0.079 eV per atom
**D(E_F)**: 1.412 states/eV/atom
**Total magnetic moment**: 0.00 μB per atom

=====

2.
Density functional theory data (GGA-PBE) for an optimized crystal structure of Dy4Y15In.

Structure (POSCAR):
```
Dy4Y15In
1.0
4.988 0.000 0.000
0.000 4.988 0.000
0.000 0.000 25.285
Dy Y In
4 15 1
direct
0.000 0.000 0.101 Dy
0.000 0.000 0.302 Dy
0.000 0.000 0.698 Dy
0.000 0.000 0.899 Dy
0.000 0.500 0.000 Y
0.000 0.500 0.202 Y
0.000 0.500 0.404 Y
0.000 0.500 0.596 Y
0.000 0.500 0.798 Y
0.500 0.000 0.000 Y
0.500 0.000 0.202 Y
0.500 0.000 0.404 Y
0.500 0.000 0.596 Y
0.500 0.000 0.798 Y
0.500 0.500 0.101 Y
0.500 0.500 0.305 Y
0.500 0.500 0.500 Y
0.500 0.500 0.695 Y
0.500 0.500 0.899 Y
0.000 0.000 0.500 In
```

Output
**Symmetry**: P4/mmm (123)
**Total DFT energy (no corrections)**: -5.94 eV/atom
**Energy of formation from the pure elements**: -0.031 eV per atom
**D(E_F)**: 1.294 states/eV/atom
**Total magnetic moment**: 0.00 μB per atom

=====

3.
Density functional theory data (GGA-PBE) for an optimized crystal structure of DyY4In.

Structure (POSCAR):
```
DyY4In
1.0
5.494 0.000 0.000
0.000 6.875 0.000
0.000 0.000 9.654
Dy Y In
2 8 2
direct
0.250 0.250 0.073 Dy
0.750 0.750 0.927 Dy
0.250 0.250 0.419 Y
0.250 0.505 0.748 Y
0.250 0.750 0.107 Y
0.250 0.995 0.748 Y
0.750 0.005 0.252 Y
0.750 0.250 0.893 Y
0.750 0.495 0.252 Y
0.750 0.750 0.581 Y
0.250 0.750 0.428 In
0.750 0.250 0.572 In
```

Output
**Symmetry**: Pmmn (59)
**Total DFT energy (no corrections)**: -5.68 eV/atom
**Energy of formation from the pure elements**: -0.149 eV per atom
**D(E_F)**: 1.614 states/eV/atom
**Total magnetic moment**: 0.00 μB per atom

=====

4.
Density functional theory data (GGA-PBE) for an optimized crystal structure of Dy4Y5In.

Structure (POSCAR):
```
Dy4Y5In
1.0
3.563 0.000 0.000
0.000 3.563 0.000
0.000 0.000 24.412
Dy Y In
4 5 1
direct
0.000 0.000 0.103 Dy
0.000 0.000 0.310 Dy
0.000 0.000 0.690 Dy
0.000 0.000 0.897 Dy
0.500 0.500 0.000 Y
0.500 0.500 0.206 Y
0.500 0.500 0.414 Y
0.500 0.500 0.586 Y
0.500 0.500 0.794 Y
0.000 0.000 0.500 In
```

Output
**Symmetry**: P4/mmm (123)
**Total DFT energy (no corrections)**: -5.43 eV/atom
**Energy of formation from the pure elements**: -0.084 eV per atom
**D(E_F)**: 1.395 states/eV/atom
**Total magnetic moment**: 0.00 μB per atom